The following is a PBE calculation of a relaxed Dy2Ga5Rh3 crystal, from Alexandria.

Values from the calculation:
- mass density (g cm⁻³) = 9.075
- volume (Å³/f.u.) = 179.7
- energy of formation (kcal/mol of atoms) = -18.612

Cell: 8.590 8.590 8.590 Å, 109.87 82.94 141.53°
Fractional positions:
Dy  0.142  0.226  0.368
Dy  0.358  0.726  0.083
Dy  0.642  0.274  0.917
Dy  0.858  0.774  0.632
Ga  0.049  0.750  0.299
Ga  0.086  0.680  0.765
Ga  0.250  0.250  0.000
Ga  0.414  0.180  0.594
Ga  0.451  0.750  0.701
Ga  0.549  0.250  0.299
Ga  0.586  0.820  0.406
Ga  0.750  0.750  0.000
Ga  0.914  0.320  0.235
Ga  0.951  0.250  0.701
Rh  0.151  0.914  0.065
Rh  0.250  0.750  0.500
Rh  0.349  0.414  0.763
Rh  0.651  0.586  0.237
Rh  0.750  0.250  0.500
Rh  0.849  0.086  0.935

The following is a PBE calculation of a relaxed Dy2Ga4Rh5 crystal, from Alexandria.

Values from the calculation:
- mass density (g cm⁻³) = 9.293
- volume (Å³/f.u.) = 199.8
- energy of formation (kcal/mol of atoms) = -17.081

Cell: 8.789 7.942 5.519 Å, 79.29 62.61 38.10°
Fractional positions:
Dy  0.121  0.121  0.879
Dy  0.879  0.879  0.121
Ga  0.212  0.526  0.474
Ga  0.474  0.788  0.212
Ga  0.526  0.212  0.788
Ga  0.788  0.474  0.526
Rh  0.000  0.000  0.500
Rh  0.250  0.250  0.250
Rh  0.500  0.500  0.000
Rh  0.500  0.500  0.500
Rh  0.750  0.750  0.750

The following is a PBE calculation of a relaxed Dy3Ga3Rh crystal, from Alexandria.

Values from the calculation:
- mass density (g cm⁻³) = 8.610
- volume (Å³/f.u.) = 154.2
- energy of formation (kcal/mol of atoms) = -16.734

Cell: 5.837 5.837 14.118 Å, 108.33 108.33 42.94°
Fractional positions:
Dy  0.026  0.026  0.381
Dy  0.108  0.108  0.923
Dy  0.237  0.237  0.236
Dy  0.763  0.763  0.764
Dy  0.892  0.892  0.077
Dy  0.974  0.974  0.619
Ga  0.364  0.364  0.461
Ga  0.392  0.392  0.924
Ga  0.470  0.470  0.767
Ga  0.530  0.530  0.233
Ga  0.608  0.608  0.076
Ga  0.636  0.636  0.539
Rh  0.257  0.257  0.600
Rh  0.743  0.743  0.400

The following is a PBE calculation of a relaxed Dy7Ga2Rh2 crystal, from Alexandria.

Values from the calculation:
- mass density (g cm⁻³) = 8.375
- volume (Å³/f.u.) = 294.0
- energy of formation (kcal/mol of atoms) = -10.026

Cell: 6.667 6.667 6.975 Å, 90.00 90.00 108.53°
Fractional positions:
Dy  0.000  0.000  0.000
Dy  0.000  0.500  0.261
Dy  0.000  0.500  0.739
Dy  0.500  0.000  0.261
Dy  0.500  0.000  0.739
Dy  0.500  0.500  0.254
Dy  0.500  0.500  0.746
Ga  0.168  0.168  0.500
Ga  0.832  0.832  0.500
Rh  0.292  0.708  0.000
Rh  0.708  0.292  0.000

Q: Which of these has the highest mass density?
A: Dy2Ga4Rh5